Density functional theory data (PBE) for MnAg2GeAs after structural relaxation.

```
MnAg2GeAs
1.0
4.9165 0.0000 0.0000
0.0000 4.6921 0.0000
0.0000 0.0000 4.9165
Mn Ag As Ge
1 2 1 1
direct
0.0000 0.5000 0.0000
0.5000 0.0000 0.0000
0.0000 0.0000 0.5000
0.0000 0.0000 0.0000
0.5000 0.5000 0.5000
```

Summary:
Space group   P4/mmm, No. 123
Formation energy from the elements   2.78 eV/f.u.